DFT (GGA-PBE) results for Pm2Tm5In after structural relaxation.

As for the magnetic moment: 0.00 μB/f.u. Its formation energy is -0.80 eV/f.u.

Cell: 4.875 4.875 20.103 Å, 90.00 90.00 90.00°
Space group I4/mmm (No. 139)
Symmetry-distinct sites (fractional):
Pm 0.000 0.000 0.243 [4 per cell]
Tm 0.000 0.000 0.000 [2 per cell]
Tm 0.000 0.500 0.119 [8 per cell]
In 0.000 0.000 0.500 [2 per cell]

---

DFT (GGA-PBE) results for PrThSc2P4 after structural relaxation.

As for the magnetic moment: 0.00 μB/f.u. Its formation energy is -11.94 eV/f.u.

Cell: 6.822 3.992 6.913 Å, 90.00 109.65 90.00°
Space group P2/m (No. 10)
Symmetry-distinct sites (fractional):
Pr 0.000 0.000 0.000 [1 per cell]
Th 0.000 0.500 0.500 [1 per cell]
Sc 0.500 0.000 0.500 [1 per cell]
Sc 0.500 0.500 0.000 [1 per cell]
P 0.274 0.000 0.756 [2 per cell]
P 0.275 0.500 0.261 [2 per cell]